La2Pb2F (PBE, relaxed); formation energy without anion corrections = -1.2938 eV per atom
1.0
7.190 0.000 0.000
0.000 7.190 0.000
0.000 0.000 5.520
Pb F La
4 2 4
direct
0.155 0.655 0.500 Pb
0.655 0.845 0.500 Pb
0.845 0.345 0.500 Pb
0.345 0.155 0.500 Pb
0.000 0.000 0.000 F
0.500 0.500 0.000 F
0.329 0.829 0.000 La
0.829 0.671 0.000 La
0.671 0.171 0.000 La
0.171 0.329 0.000 La

---

CaAuSe (PBE, relaxed); formation energy without anion corrections = -0.9386 eV per atom
1.0
4.305 0.000 0.016
0.000 3.995 0.000
-1.696 0.000 4.773
Ca Au Se
1 1 1
direct
0.500 0.500 0.500 Ca
0.500 0.000 0.000 Au
0.000 0.000 0.500 Se

---

CrNi4P (PBE, relaxed); formation enthalpy at 0 K = 0.21 eV/atom
1.0
-3.029 1.913 2.995
-1.518 4.363 -0.682
-4.417 0.757 -1.311
Cr Ni P
1 4 1
direct
0.000 0.000 0.000 Cr
0.625 0.625 0.125 Ni
0.625 0.125 0.625 Ni
0.625 0.625 0.625 Ni
0.125 0.625 0.625 Ni
0.250 0.250 0.250 P

---

BaIn2Tc (PBE, relaxed); formation enthalpy at 0 K = 0.56 eV/atom
1.0
10.097 0.044 0.026
9.463 3.524 0.026
9.463 1.726 3.072
Ba In Tc
1 2 1
direct
0.764 0.764 0.764 Ba
0.989 0.989 0.989 In
0.238 0.238 0.238 In
0.509 0.509 0.509 Tc

---

UMnFeOs (PBE, relaxed); formation enthalpy at 0 K = 0.20 eV/atom
1.0
4.467 0.000 0.000
2.233 3.868 0.000
2.233 1.289 3.647
Os Mn U Fe
1 1 1 1
direct
0.000 0.000 0.000 Os
0.250 0.250 0.250 Mn
0.750 0.750 0.750 U
0.500 0.500 0.500 Fe

---

Tb2TmC (PBE, relaxed); formation enthalpy at 0 K = -0.04 eV/atom
1.0
-3.050 1.659 -0.688
-2.974 -1.870 -0.429
-3.774 0.580 9.031
C Tm Tb
1 1 2
direct
0.500 0.500 0.500 C
0.000 0.000 0.000 Tm
0.120 0.120 0.641 Tb
0.880 0.880 0.359 Tb

---

NaSbNF2 (PBE, relaxed); formation energy without anion corrections = -1.1196 eV per atom
1.0
4.541 0.000 0.000
0.000 4.541 0.000
0.000 0.000 4.035
Sb N F Na
1 1 2 1
direct
0.000 0.000 0.000 Sb
0.000 0.000 0.500 N
0.000 0.500 0.000 F
0.500 0.000 0.000 F
0.500 0.500 0.500 Na

---

KCrAs2 (PBE, relaxed); formation enthalpy at 0 K = -0.09 eV/atom
1.0
-1.832 0.442 2.715
-3.271 0.395 -0.259
-2.775 -8.180 1.472
K Cr As
1 1 2
direct
0.500 0.500 0.500 K
0.667 0.667 0.000 Cr
0.062 0.062 0.814 As
0.272 0.272 0.185 As

---

Number 1: final energy -5.122 eV per atom. Number 2: final energy -3.860 eV per atom. Number 3: final energy -6.151 eV per atom. Number 4: final energy -3.883 eV per atom. Number 5: final energy -9.839 eV per atom. Number 6: final energy -5.781 eV per atom. Number 7: final energy -4.622 eV per atom. Number 8: final energy -5.098 eV per atom.